Entry 1:
## Ca2CrSi (PBEsol)

Data for a relaxed structure of Ca2CrSi.

Lattice parameters (Å, degrees): 4.558 4.558 4.267 90.00 90.00 90.00
Space group P4/mmm (No. 123)
Asymmetric unit:
Ca1 0.000 0.500 0.000 (multiplicity 2)
Cr1 0.000 0.000 0.500 (multiplicity 1)
Si1 0.500 0.500 0.500 (multiplicity 1)

Values from the calculation:
- Total magnetization: 0.994 μB/atom
- VASP energy: -4.869 eV per atom

Entry 2:
## CaCr2Si (PBEsol)

Data for a relaxed structure of CaCr2Si.

Lattice parameters (Å, degrees): 3.793 3.793 4.139 90.00 90.00 90.00
Space group P4/mmm (No. 123)
Asymmetric unit:
Ca1 0.000 0.000 0.000 (multiplicity 1)
Cr1 0.000 0.500 0.500 (multiplicity 2)
Si1 0.500 0.500 0.000 (multiplicity 1)

Values from the calculation:
- Total magnetization: 0.075 μB/atom
- VASP energy: -6.355 eV per atom
- E above lowest polymorph: 618 meV per atom

Entry 3:
## CaCr2Si (PBEsol)

Data for a relaxed structure of CaCr2Si.

Lattice parameters (Å, degrees): 2.986 2.986 7.095 90.00 90.00 90.00
Space group P4mm (No. 99)
Asymmetric unit:
Ca1 0.000 0.000 0.000 (multiplicity 1)
Cr1 0.000 0.000 0.499 (multiplicity 1)
Cr2 0.500 0.500 0.342 (multiplicity 1)
Si1 0.500 0.500 0.699 (multiplicity 1)

Values from the calculation:
- Total magnetization: 0.346 μB/atom
- VASP energy: -6.973 eV per atom
- E above lowest polymorph: 0 meV per atom

Entry 4:
## CaCrSn3 (PBEsol)

Data for a relaxed structure of CaCrSn3.

Lattice parameters (Å, degrees): 5.043 5.043 5.043 90.00 90.00 90.00
Space group Pm-3m (No. 221)
Asymmetric unit:
Ca1 0.000 0.000 0.000 (multiplicity 1)
Cr1 0.500 0.500 0.500 (multiplicity 1)
Sn1 0.000 0.500 0.500 (multiplicity 3)

Values from the calculation:
- Total magnetization: 0.371 μB/atom
- VASP energy: -5.019 eV per atom

Entry 5:
## SrCaCr2 (PBEsol)

Data for a relaxed structure of SrCaCr2.

Lattice parameters (Å, degrees): 3.736 5.510 9.876 90.00 90.00 90.00
Space group Imm2 (No. 44)
Asymmetric unit:
Sr1 0.000 0.000 0.000 (multiplicity 2)
Ca1 0.000 0.500 0.805 (multiplicity 2)
Cr1 0.000 0.000 0.590 (multiplicity 2)
Cr2 0.000 0.500 0.222 (multiplicity 2)

Values from the calculation:
- Total magnetization: 0.015 μB/atom
- VASP energy: -5.442 eV per atom
- E above lowest polymorph: 0 meV per atom

Entry 6:
## SrCaCr2 (PBEsol)

Data for a relaxed structure of SrCaCr2.

Lattice parameters (Å, degrees): 7.660 7.660 7.660 90.00 90.00 90.00
Space group Fm-3m (No. 225)
Asymmetric unit:
Sr1 0.000 0.000 0.000 (multiplicity 4)
Ca1 0.000 0.000 0.500 (multiplicity 4)
Cr1 0.250 0.250 0.250 (multiplicity 8)

Values from the calculation:
- Total magnetization: 2.342 μB/atom
- VASP energy: -5.158 eV per atom
- E above lowest polymorph: 284 meV per atom

Entry 7:
## Sr3CaCr (PBEsol)

Data for a relaxed structure of Sr3CaCr.

Lattice parameters (Å, degrees): 6.170 6.170 6.170 90.00 90.00 90.00
Space group Pm-3m (No. 221)
Asymmetric unit:
Sr1 0.000 0.000 0.500 (multiplicity 3)
Ca1 0.500 0.500 0.500 (multiplicity 1)
Cr1 0.000 0.000 0.000 (multiplicity 1)

Values from the calculation:
- Total magnetization: 0.820 μB/atom
- VASP energy: -3.018 eV per atom

Entry 8:
## SrCaCr2 (PBEsol)

Data for a relaxed structure of SrCaCr2.

Lattice parameters (Å, degrees): 3.842 3.842 7.605 90.00 90.00 90.00
Space group P4/mmm (No. 123)
Asymmetric unit:
Sr1 0.000 0.000 0.000 (multiplicity 1)
Ca1 0.000 0.000 0.500 (multiplicity 1)
Cr1 0.500 0.500 0.275 (multiplicity 2)

Values from the calculation:
- Total magnetization: 2.322 μB/atom
- VASP energy: -5.168 eV per atom
- E above lowest polymorph: 274 meV per atom

Entry 9:
## SrCaCr (PBEsol)

Data for a relaxed structure of SrCaCr.

Lattice parameters (Å, degrees): 3.910 3.910 13.188 90.00 90.00 90.00
Space group I4mm (No. 107)
Asymmetric unit:
Sr1 0.000 0.000 0.000 (multiplicity 2)
Ca1 0.000 0.000 0.718 (multiplicity 2)
Cr1 0.000 0.000 0.347 (multiplicity 2)

Values from the calculation:
- Total magnetization: 1.573 μB/atom
- VASP energy: -4.117 eV per atom

Entry 10:
## Ca2TaCr (PBEsol)

Data for a relaxed structure of Ca2TaCr.

Lattice parameters (Å, degrees): 4.140 4.161 5.024 90.00 90.00 90.00
Space group Pmmm (No. 47)
Asymmetric unit:
Ca1 0.000 0.000 0.000 (multiplicity 1)
Ca2 0.500 0.500 0.000 (multiplicity 1)
Ta1 0.000 0.500 0.500 (multiplicity 1)
Cr1 0.500 0.000 0.500 (multiplicity 1)

Values from the calculation:
- Total magnetization: 0.483 μB/atom
- VASP energy: -5.788 eV per atom
- E above lowest polymorph: 0 meV per atom

Entry 11:
## Ca2TaCr (PBEsol)

Data for a relaxed structure of Ca2TaCr.

Lattice parameters (Å, degrees): 7.274 7.274 7.274 90.00 90.00 90.00
Space group Fm-3m (No. 225)
Asymmetric unit:
Ca1 0.250 0.250 0.250 (multiplicity 8)
Ta1 0.000 0.000 0.000 (multiplicity 4)
Cr1 0.000 0.000 0.500 (multiplicity 4)

Values from the calculation:
- Total magnetization: 0.384 μB/atom
- VASP energy: -5.640 eV per atom
- E above lowest polymorph: 148 meV per atom

Entry 12:
## CaTaCr2 (PBEsol)

Data for a relaxed structure of CaTaCr2.

Lattice parameters (Å, degrees): 9.106 2.963 5.907 90.00 94.82 90.00
Space group C2/m (No. 12)
Asymmetric unit:
Ca1 0.000 0.000 0.000 (multiplicity 2)
Ta1 0.000 0.500 0.500 (multiplicity 2)
Cr1 0.244 0.000 0.631 (multiplicity 4)

Values from the calculation:
- Total magnetization: 0.000 μB/atom
- VASP energy: -8.060 eV per atom
- E above lowest polymorph: 106 meV per atom

Entry 13:
## CaTaCr2 (PBEsol)

Data for a relaxed structure of CaTaCr2.

Lattice parameters (Å, degrees): 3.005 4.594 9.596 90.00 90.00 90.00
Space group Imm2 (No. 44)
Asymmetric unit:
Ca1 0.000 0.000 0.000 (multiplicity 2)
Ta1 0.000 0.500 0.782 (multiplicity 2)
Cr1 0.000 0.000 0.572 (multiplicity 2)
Cr2 0.000 0.500 0.235 (multiplicity 2)

Values from the calculation:
- Total magnetization: 0.001 μB/atom
- VASP energy: -8.107 eV per atom
- E above lowest polymorph: 59 meV per atom

Entry 14:
## Ca2TaCr (PBEsol)

Data for a relaxed structure of Ca2TaCr.

Lattice parameters (Å, degrees): 3.1760 3.1760 31.8570 90.00 90.00 120.00
Space group R-3m (No. 166, hexagonal axes)
Asymmetric unit:
Ca1 0.0000 0.0000 0.2488 (multiplicity 6)
Ta1 0.0000 0.0000 0.5000 (multiplicity 3)
Cr1 0.0000 0.0000 0.0000 (multiplicity 3)

Values from the calculation:
- Total magnetization: 1.053 μB/atom
- VASP energy: -5.779 eV per atom
- E above lowest polymorph: 9 meV per atom

Entry 15:
## CaTaCr2 (PBEsol)

Data for a relaxed structure of CaTaCr2.

Lattice parameters (Å, degrees): 2.881 3.653 6.889 90.00 98.11 90.00
Space group Pm (No. 6)
Asymmetric unit:
Ca1 0.000 0.000 0.000 (multiplicity 1)
Ta1 0.347 0.500 0.638 (multiplicity 1)
Cr1 0.515 0.500 0.310 (multiplicity 1)
Cr2 0.866 0.000 0.443 (multiplicity 1)

Values from the calculation:
- Total magnetization: 0.000 μB/atom
- VASP energy: -8.166 eV per atom
- E above lowest polymorph: 0 meV per atom

Entry 16:
## Ca2CrTc (PBEsol)

Data for a relaxed structure of Ca2CrTc.

Lattice parameters (Å, degrees): 3.195 3.195 8.739 90.00 90.00 90.00
Space group P4mm (No. 99)
Asymmetric unit:
Ca1 0.000 0.000 0.000 (multiplicity 1)
Ca2 0.500 0.500 0.387 (multiplicity 1)
Cr1 0.500 0.500 0.745 (multiplicity 1)
Tc1 0.000 0.000 0.637 (multiplicity 1)

Values from the calculation:
- Total magnetization: 0.331 μB/atom
- VASP energy: -6.061 eV per atom

Entry 17:
## CaCrTe2 (PBEsol)

Data for a relaxed structure of CaCrTe2.

Lattice parameters (Å, degrees): 4.211 4.211 11.505 90.00 90.00 90.00
Space group I-4m2 (No. 119)
Asymmetric unit:
Ca1 0.000 0.000 0.000 (multiplicity 2)
Cr1 0.000 0.500 0.250 (multiplicity 2)
Te1 0.000 0.000 0.500 (multiplicity 2)
Te2 0.000 0.500 0.750 (multiplicity 2)

Values from the calculation:
- Total magnetization: 1.079 μB/atom
- VASP energy: -5.209 eV per atom
- E above lowest polymorph: 61 meV per atom

Entry 18:
## CaCr3Te (PBEsol)

Data for a relaxed structure of CaCr3Te.

Lattice parameters (Å, degrees): 5.117 5.117 5.117 90.00 90.00 90.00
Space group Pm-3m (No. 221)
Asymmetric unit:
Ca1 0.000 0.000 0.000 (multiplicity 1)
Cr1 0.000 0.500 0.500 (multiplicity 3)
Te1 0.500 0.500 0.500 (multiplicity 1)

Values from the calculation:
- Total magnetization: 2.464 μB/atom
- VASP energy: -6.171 eV per atom

Entry 19:
## CaCrTe2 (PBEsol)

Data for a relaxed structure of CaCrTe2.

Lattice parameters (Å, degrees): 5.162 5.162 3.684 90.00 90.00 90.00
Space group P4/mmm (No. 123)
Asymmetric unit:
Ca1 0.000 0.000 0.000 (multiplicity 1)
Cr1 0.500 0.500 0.000 (multiplicity 1)
Te1 0.000 0.500 0.500 (multiplicity 2)

Values from the calculation:
- Total magnetization: 1.015 μB/atom
- VASP energy: -5.270 eV per atom
- E above lowest polymorph: 0 meV per atom

Entry 20:
## CaCrTe2 (PBEsol)

Data for a relaxed structure of CaCrTe2.

Lattice parameters (Å, degrees): 3.9573 3.9573 27.0974 90.00 90.00 120.00
Space group R-3m (No. 166, hexagonal axes)
Asymmetric unit:
Ca1 0.0000 0.0000 0.0000 (multiplicity 3)
Cr1 0.0000 0.0000 0.5000 (multiplicity 3)
Te1 0.0000 0.0000 0.1128 (multiplicity 6)

Values from the calculation:
- Total magnetization: 0.754 μB/atom
- VASP energy: -5.111 eV per atom
- E above lowest polymorph: 159 meV per atom